Entry 1:
First-principles (SCAN) data for a PBEsol-optimized structure of HfAl2BiB, as listed in Alexandria via LeMat-Bulk.

Cell: 5.2092 5.2092 4.3920 Å, 90.00 90.00 90.00°
Positions (direct):
Hf1 0.0000 0.0000 0.0000
Al1 0.0000 0.5000 0.0000
Al2 0.5000 0.0000 0.0000
Bi1 0.5000 0.5000 0.5000
B1 0.0000 0.0000 0.5000

## Properties
ΔH_f (0 K)   1.115 eV/atom
D(E_F)   3.06 states/eV/cell

***

Entry 2:
First-principles (SCAN) data for a PBEsol-optimized structure of LiIr3F, as listed in Alexandria via LeMat-Bulk.

Cell: 4.0944 4.0944 4.0944 Å, 90.00 90.00 90.00°
Positions (direct):
Li1 0.0000 0.0000 0.0000
Ir1 0.0000 0.0000 0.5000
Ir2 0.0000 0.5000 0.0000
Ir3 0.5000 0.0000 0.0000
F1 0.5000 0.5000 0.5000

## Properties
Formation energy (no corrections)   1450.6 meV per atom
D(E_F)   5.55 states/eV/cell

***

Entry 3:
First-principles (SCAN) data for a PBEsol-optimized structure of Mg2Zn, as listed in Alexandria via LeMat-Bulk.

Cell: 4.7037 4.7037 5.9393 Å, 90.00 90.00 120.00°
Positions (direct):
Mg1 0.0000 0.0000 0.0000
Mg2 0.0000 0.0000 0.5000
Mg3 0.3333 0.6667 0.2500
Mg4 0.6667 0.3333 0.7500
Zn1 0.3333 0.6667 0.7500
Zn2 0.6667 0.3333 0.2500

## Properties
ΔH_f (0 K)   -0.100 eV/atom
D(E_F)   1.73 states/eV/cell

***

Entry 4:
First-principles (SCAN) data for a PBEsol-optimized structure of IrSCl2, as listed in Alexandria via LeMat-Bulk.

Cell: 4.4562 4.4562 4.4562 Å, 60.00 60.00 60.00°
Positions (direct):
Ir1 0.0000 0.0000 0.0000
S1 0.5000 0.5000 0.5000
Cl1 0.2500 0.2500 0.2500
Cl2 0.7500 0.7500 0.7500

## Properties
Formation energy (no corrections)   1460.1 meV per atom
D(E_F)   4.00 states/eV/cell

***

Entry 5:
First-principles (SCAN) data for a PBEsol-optimized structure of Li4VCr3O8, as listed in Alexandria via LeMat-Bulk.

Cell: 5.8355 5.8355 5.0186 Å, 106.89 106.89 60.00°
Positions (direct):
Li1 0.2478 0.7522 0.0000
Li2 0.2488 0.2488 0.9970
Li3 0.7512 0.7512 0.0030
Li4 0.7522 0.2478 0.0000
V1 0.5000 0.5000 0.5000
Cr1 0.0000 0.0000 0.5000
Cr2 0.0000 0.5000 0.5000
Cr3 0.5000 0.0000 0.5000
O1 0.1261 0.6306 0.2741
O2 0.1292 0.1292 0.2753
O3 0.3694 0.8739 0.7259
O4 0.3695 0.3695 0.7263
O5 0.6305 0.6305 0.2737
O6 0.6306 0.1261 0.2741
O7 0.8708 0.8708 0.7247
O8 0.8739 0.3694 0.7259

## Properties
Formation energy (no corrections)   -2525.0 meV per atom

***

Entry 6:
First-principles (SCAN) data for a PBEsol-optimized structure of Ag2PPt, as listed in Alexandria via LeMat-Bulk.

Cell: 3.1136 3.1136 6.6123 Å, 90.00 90.00 90.00°
Positions (direct):
Ag1 0.0000 0.0000 0.0000
Ag2 0.5000 0.5000 0.2685
P1 0.0000 0.0000 0.5568
Pt1 0.5000 0.5000 0.7120

## Properties
ΔH_f (0 K)   -0.020 eV/atom
D(E_F)   1.36 states/eV/cell

***

Entry 7:
First-principles (SCAN) data for a PBEsol-optimized structure of YSi2Ir, as listed in Alexandria via LeMat-Bulk.

Cell: 5.3764 5.3764 5.3764 Å, 44.25 44.25 44.25°
Positions (direct):
Y1 0.0000 0.0000 0.0000
Si1 0.2132 0.2132 0.2132
Si2 0.7868 0.7868 0.7868
Ir1 0.5000 0.5000 0.5000

## Properties
Formation energy (no corrections)   -1012.2 meV per atom
D(E_F)   1.17 states/eV/cell

***

Entry 8:
First-principles (SCAN) data for a PBEsol-optimized structure of LiAgP2, as listed in Alexandria via LeMat-Bulk.

Cell: 2.8452 4.0496 5.3665 Å, 90.00 90.93 90.00°
Positions (direct):
Li1 0.0000 0.0000 0.0000
Ag1 0.5000 0.0000 0.5000
P1 0.4933 0.5000 0.7947
P2 0.5067 0.5000 0.2053

## Properties
Energy relative to the lowest polymorph listed for this composition   0.000 eV per atom
ΔH_f (0 K)   -0.110 eV/atom
D(E_F)   0.69 states/eV/cell

***

What is the formula in the fourth record?
IrSCl2